## one
{
  "formula": "PrTaTiO6",
  "functional": "GGA-PBE",
  "state": "relaxed",
  "dos_at_fermi_per_ev_fu": 0.00,
  "sg": "P-31c",
  "lattice": [[5.2481, 0.0000, 0.0000], [-2.6241, 4.5450, 0.0000], [0.0000, 0.0000, 10.2827]],
  "species": ["Pr", "Pr", "Ta", "Ta", "Ti", "Ti", "O", "O", "O", "O", "O", "O", "O", "O", "O", "O", "O", "O"],
  "frac_coords": [[0.0000, 0.0000, 0.0000], [0.0000, 0.0000, 0.5000], [0.3333, 0.6667, 0.2500], [0.6667, 0.3333, 0.7500], [0.3333, 0.6667, 0.7500], [0.6667, 0.3333, 0.2500], [0.0029, 0.3711, 0.6435], [0.0029, 0.6318, 0.8565], [0.3682, 0.3711, 0.8565], [0.3682, 0.9971, 0.6435], [0.3711, 0.0029, 0.1435], [0.3711, 0.3682, 0.3565], [0.6289, 0.6318, 0.6435], [0.6289, 0.9971, 0.8565], [0.6318, 0.0029, 0.3565], [0.6318, 0.6289, 0.1435], [0.9971, 0.3682, 0.1435], [0.9971, 0.6289, 0.3565]]
}

---

## two
{
  "formula": "PrTaTiO6",
  "functional": "GGA-PBE",
  "state": "relaxed",
  "dos_at_fermi_per_ev_fu": 0.00,
  "sg": "Pna2_1",
  "lattice": [[11.1111, 0.0000, 0.0000], [0.0000, 5.4266, 0.0000], [0.0000, 0.0000, 7.5718]],
  "species": ["Pr", "Pr", "Pr", "Pr", "Ta", "Ta", "Ta", "Ta", "Ti", "Ti", "Ti", "Ti", "O", "O", "O", "O", "O", "O", "O", "O", "O", "O", "O", "O", "O", "O", "O", "O", "O", "O", "O", "O", "O", "O", "O", "O"],
  "frac_coords": [[0.0440, 0.0433, 0.0000], [0.4560, 0.5433, 0.5000], [0.5440, 0.4567, 0.0000], [0.9560, 0.9567, 0.5000], [0.1445, 0.5369, 0.2566], [0.3555, 0.0369, 0.7566], [0.6445, 0.9631, 0.2566], [0.8555, 0.4631, 0.7566], [0.1423, 0.5348, 0.7430], [0.3577, 0.0348, 0.2430], [0.6423, 0.9652, 0.7430], [0.8577, 0.4652, 0.2430], [0.0249, 0.2720, 0.7139], [0.0289, 0.2652, 0.2891], [0.1223, 0.6566, 0.5031], [0.1438, 0.4551, 0.9999], [0.2087, 0.8701, 0.8088], [0.2136, 0.8729, 0.1937], [0.2864, 0.3729, 0.6937], [0.2913, 0.3701, 0.3088], [0.3562, 0.9551, 0.4999], [0.3777, 0.1566, 0.0031], [0.4711, 0.7652, 0.7891], [0.4751, 0.7720, 0.2139], [0.5249, 0.2280, 0.7139], [0.5289, 0.2348, 0.2891], [0.6223, 0.8434, 0.5031], [0.6438, 0.0449, 0.9999], [0.7087, 0.6299, 0.8088], [0.7136, 0.6271, 0.1937], [0.7864, 0.1271, 0.6937], [0.7913, 0.1299, 0.3088], [0.8562, 0.5449, 0.4999], [0.8777, 0.3434, 0.0031], [0.9711, 0.7348, 0.7891], [0.9751, 0.7280, 0.2139]]
}

---

Stability comparison, relative energies in meV per atom: one 21; two 0

---

## one
{
  "formula": "Tb2PrO",
  "functional": "GGA-PBE",
  "state": "relaxed",
  "dos_at_fermi_per_ev_fu": 4.54,
  "sg": "R-3m",
  "lattice": [[1.7582, 1.0151, 9.5040], [-1.7582, 1.0151, 9.5040], [0.0000, -2.0302, 9.5040]],
  "species": ["Tb", "Tb", "Pr", "O"],
  "frac_coords": [[0.1205, 0.1205, 0.1205], [0.8795, 0.8795, 0.8795], [0.0000, 0.0000, 0.0000], [0.5000, 0.5000, 0.5000]]
}

---

## two
{
  "formula": "Tb2PrO",
  "functional": "GGA-PBE",
  "state": "relaxed",
  "dos_at_fermi_per_ev_fu": 4.85,
  "sg": "P4/mmm",
  "lattice": [[3.2116, 0.0000, 0.0000], [0.0000, 3.2116, 0.0000], [0.0000, 0.0000, 8.9778]],
  "species": ["Tb", "Tb", "Pr", "O"],
  "frac_coords": [[0.0000, 0.0000, 0.1713], [0.0000, 0.0000, 0.8287], [0.5000, 0.5000, 0.5000], [0.5000, 0.5000, 0.0000]]
}

---

Stability comparison, relative energies in meV per atom: one 0; two 420

---

## one
{
  "formula": "TbPrO2",
  "functional": "GGA-PBE",
  "state": "relaxed",
  "dos_at_fermi_per_ev_fu": 0.61,
  "sg": "R-3m",
  "lattice": [[1.7414, 1.0054, 5.9666], [-1.7414, 1.0054, 5.9666], [0.0000, -2.0108, 5.9666]],
  "species": ["Tb", "Pr", "O", "O"],
  "frac_coords": [[0.0000, 0.0000, 0.0000], [0.5000, 0.5000, 0.5000], [0.2660, 0.2660, 0.2660], [0.7340, 0.7340, 0.7340]]
}

---

## two
{
  "formula": "TbPrO2",
  "functional": "GGA-PBE",
  "state": "relaxed",
  "dos_at_fermi_per_ev_fu": 0.49,
  "sg": "R3m",
  "lattice": [[1.7429, 1.0063, 6.0811], [-1.7429, 1.0063, 6.0811], [0.0000, -2.0126, 6.0811]],
  "species": ["Tb", "Pr", "O", "O"],
  "frac_coords": [[0.0000, 0.0000, 0.0000], [0.1772, 0.1772, 0.1772], [0.4082, 0.4082, 0.4082], [0.6023, 0.6023, 0.6023]]
}

---

Stability comparison, relative energies in meV per atom: one 0; two 137

---

## one
{
  "formula": "TbPr2O",
  "functional": "GGA-PBE",
  "state": "relaxed",
  "dos_at_fermi_per_ev_fu": 5.11,
  "sg": "P4/mmm",
  "lattice": [[3.2803, 0.0000, 0.0000], [0.0000, 3.2803, 0.0000], [0.0000, 0.0000, 9.2170]],
  "species": ["Tb", "Pr", "Pr", "O"],
  "frac_coords": [[0.0000, 0.0000, 0.0000], [0.5000, 0.5000, 0.3290], [0.5000, 0.5000, 0.6710], [0.0000, 0.0000, 0.5000]]
}

---

## two
{
  "formula": "TbPr2O",
  "functional": "GGA-PBE",
  "state": "relaxed",
  "dos_at_fermi_per_ev_fu": 4.80,
  "sg": "R-3m",
  "lattice": [[1.8353, 1.0596, 9.3914], [-1.8353, 1.0596, 9.3914], [0.0000, -2.1192, 9.3914]],
  "species": ["Tb", "Pr", "Pr", "O"],
  "frac_coords": [[0.0000, 0.0000, 0.0000], [0.1181, 0.1181, 0.1181], [0.8819, 0.8819, 0.8819], [0.5000, 0.5000, 0.5000]]
}

---

Stability comparison, relative energies in meV per atom: one 304; two 0

---

## one
{
  "formula": "Pr2TcO6",
  "functional": "GGA-PBE",
  "state": "relaxed",
  "dos_at_fermi_per_ev_fu": 5.21,
  "sg": "P2_1/c",
  "lattice": [[5.5400, 0.0000, 0.0000], [0.0000, 6.2515, 0.0000], [-4.7519, 0.0000, 7.5821]],
  "species": ["Pr", "Pr", "Pr", "Pr", "Tc", "Tc", "O", "O", "O", "O", "O", "O", "O", "O", "O", "O", "O", "O"],
  "frac_coords": [[0.2121, 0.0938, 0.2493], [0.2121, 0.4062, 0.7493], [0.7879, 0.5938, 0.2507], [0.7879, 0.9062, 0.7507], [0.5000, 0.0000, 0.0000], [0.5000, 0.5000, 0.5000], [0.1519, 0.1509, 0.9488], [0.1519, 0.3491, 0.4488], [0.2985, 0.7295, 0.9300], [0.2985, 0.7705, 0.4300], [0.4002, 0.0516, 0.7631], [0.4002, 0.4484, 0.2631], [0.5998, 0.5516, 0.7369], [0.5998, 0.9484, 0.2369], [0.7015, 0.2295, 0.5700], [0.7015, 0.2705, 0.0700], [0.8481, 0.6509, 0.5512], [0.8481, 0.8491, 0.0512]]
}

---

## two
{
  "formula": "Pr2TcO6",
  "functional": "GGA-PBE",
  "state": "relaxed",
  "dos_at_fermi_per_ev_fu": 3.57,
  "sg": "Immm",
  "lattice": [[-1.9476, 2.7413, 5.5030], [1.9476, -2.7413, 5.5030], [1.9476, 2.7413, -5.5030]],
  "species": ["Pr", "Pr", "Tc", "O", "O", "O", "O", "O", "O"],
  "frac_coords": [[0.1658, 0.1658, 0.0000], [0.8342, 0.8342, 0.0000], [0.5000, 0.5000, 0.0000], [0.1238, 0.3575, 0.7663], [0.2950, 0.0000, 0.2950], [0.4087, 0.6425, 0.7663], [0.5913, 0.3575, 0.2337], [0.7050, 0.0000, 0.7050], [0.8762, 0.6425, 0.2337]]
}

---

Stability comparison, relative energies in meV per atom: one 0; two 253

---

## one
{
  "formula": "Pr3TeO3",
  "functional": "GGA-PBE",
  "state": "relaxed",
  "dos_at_fermi_per_ev_fu": 2.13,
  "sg": "R-3",
  "lattice": [[3.5197, 2.0321, 7.5008], [-3.5197, 2.0321, 7.5008], [0.0000, -4.0642, 7.5008]],
  "species": ["Pr", "Pr", "Pr", "Pr", "Pr", "Pr", "Te", "Te", "O", "O", "O", "O", "O", "O"],
  "frac_coords": [[0.0701, 0.3998, 0.7291], [0.2709, 0.9299, 0.6002], [0.3998, 0.7291, 0.0701], [0.6002, 0.2709, 0.9299], [0.7291, 0.0701, 0.3998], [0.9299, 0.6002, 0.2709], [0.1666, 0.1666, 0.1666], [0.8334, 0.8334, 0.8334], [0.0392, 0.7084, 0.3736], [0.2916, 0.6264, 0.9608], [0.3736, 0.0392, 0.7084], [0.6264, 0.9608, 0.2916], [0.7084, 0.3736, 0.0392], [0.9608, 0.2916, 0.6264]]
}

---

## two
{
  "formula": "Pr3TeO3",
  "functional": "GGA-PBE",
  "state": "relaxed",
  "dos_at_fermi_per_ev_fu": 2.91,
  "sg": "P6_3/m",
  "lattice": [[9.3716, 0.0000, 0.0000], [-4.6858, 8.1160, 0.0000], [0.0000, 0.0000, 4.2617]],
  "species": ["Pr", "Pr", "Pr", "Pr", "Pr", "Pr", "Te", "Te", "O", "O", "O", "O", "O", "O"],
  "frac_coords": [[0.0887, 0.6879, 0.2500], [0.3121, 0.4009, 0.2500], [0.4009, 0.0887, 0.7500], [0.5991, 0.9113, 0.2500], [0.6879, 0.5991, 0.7500], [0.9113, 0.3121, 0.7500], [0.3333, 0.6667, 0.7500], [0.6667, 0.3333, 0.2500], [0.0500, 0.3895, 0.2500], [0.3396, 0.9500, 0.2500], [0.3895, 0.3396, 0.7500], [0.6105, 0.6604, 0.2500], [0.6604, 0.0500, 0.7500], [0.9500, 0.6105, 0.7500]]
}

---

Stability comparison, relative energies in meV per atom: one 0; two 167

---

## one
{
  "formula": "Pr2TeO",
  "functional": "GGA-PBE",
  "state": "relaxed",
  "dos_at_fermi_per_ev_fu": 1.82,
  "sg": "P2/c",
  "lattice": [[6.1778, 0.0000, 0.0000], [0.0000, 6.6274, 0.0000], [-5.6490, 0.0000, 10.9850]],
  "species": ["Pr", "Pr", "Pr", "Pr", "Pr", "Pr", "Pr", "Pr", "Te", "Te", "Te", "Te", "O", "O", "O", "O"],
  "frac_coords": [[0.1079, 0.2009, 0.0912], [0.1079, 0.7991, 0.5912], [0.3128, 0.1694, 0.8502], [0.3128, 0.8306, 0.3502], [0.6872, 0.1694, 0.6498], [0.6872, 0.8306, 0.1498], [0.8921, 0.2009, 0.4088], [0.8921, 0.7991, 0.9088], [0.3576, 0.3172, 0.3744], [0.3576, 0.6828, 0.8744], [0.6424, 0.3172, 0.1256], [0.6424, 0.6828, 0.6256], [0.0460, 0.1429, 0.6299], [0.0460, 0.8571, 0.1299], [0.9540, 0.1429, 0.8701], [0.9540, 0.8571, 0.3701]]
}

---

## two
{
  "formula": "Pr2TeO",
  "functional": "GGA-PBE",
  "state": "relaxed",
  "dos_at_fermi_per_ev_fu": 0.88,
  "sg": "R-3m",
  "lattice": [[1.9767, 1.1412, 7.0737], [-1.9767, 1.1412, 7.0737], [0.0000, -2.2825, 7.0737]],
  "species": ["Pr", "Pr", "Te", "O"],
  "frac_coords": [[0.2279, 0.2279, 0.2279], [0.7721, 0.7721, 0.7721], [0.0000, 0.0000, 0.0000], [0.5000, 0.5000, 0.5000]]
}

---

Stability comparison, relative energies in meV per atom: one 77; two 0

---

## one
{
  "formula": "Pr2TeO6",
  "functional": "GGA-PBE",
  "state": "relaxed",
  "dos_at_fermi_per_ev_fu": 0.00,
  "sg": "P2_1/c",
  "lattice": [[5.6382, 0.0000, 0.0000], [0.0000, 6.1526, 0.0000], [-4.8592, 0.0000, 8.0377]],
  "species": ["Pr", "Pr", "Pr", "Pr", "Te", "Te", "O", "O", "O", "O", "O", "O", "O", "O", "O", "O", "O", "O"],
  "frac_coords": [[0.2074, 0.0749, 0.2460], [0.2074, 0.4251, 0.7460], [0.7926, 0.5749, 0.2540], [0.7926, 0.9251, 0.7540], [0.5000, 0.0000, 0.0000], [0.5000, 0.5000, 0.5000], [0.1700, 0.1627, 0.9531], [0.1700, 0.3373, 0.4531], [0.2680, 0.7378, 0.9135], [0.2680, 0.7622, 0.4135], [0.4232, 0.0720, 0.7797], [0.4232, 0.4280, 0.2797], [0.5768, 0.5720, 0.7203], [0.5768, 0.9280, 0.2203], [0.7320, 0.2378, 0.5865], [0.7320, 0.2622, 0.0865], [0.8300, 0.6627, 0.5469], [0.8300, 0.8373, 0.0469]]
}

---

## two
{
  "formula": "Pr2TeO6",
  "functional": "GGA-PBE",
  "state": "relaxed",
  "dos_at_fermi_per_ev_fu": 0.00,
  "sg": "P2_12_12_1",
  "lattice": [[5.5183, 0.0000, 0.0000], [0.0000, 9.4817, 0.0000], [0.0000, 0.0000, 10.3736]],
  "species": ["Pr", "Pr", "Pr", "Pr", "Pr", "Pr", "Pr", "Pr", "Te", "Te", "Te", "Te", "O", "O", "O", "O", "O", "O", "O", "O", "O", "O", "O", "O", "O", "O", "O", "O", "O", "O", "O", "O", "O", "O", "O", "O"],
  "frac_coords": [[0.0248, 0.1038, 0.0412], [0.0336, 0.2170, 0.6380], [0.4664, 0.7830, 0.1380], [0.4752, 0.8962, 0.5412], [0.5248, 0.3962, 0.9588], [0.5336, 0.2830, 0.3620], [0.9664, 0.7170, 0.8620], [0.9752, 0.6038, 0.4588], [0.0411, 0.4956, 0.1431], [0.4589, 0.5044, 0.6431], [0.5411, 0.0044, 0.8569], [0.9589, 0.9956, 0.3569], [0.0714, 0.8505, 0.4762], [0.1660, 0.9469, 0.2138], [0.1787, 0.6363, 0.2563], [0.1931, 0.6375, 0.6759], [0.2209, 0.1113, 0.4350], [0.2465, 0.5857, 0.0090], [0.2535, 0.4143, 0.5090], [0.2791, 0.8887, 0.9350], [0.3069, 0.3625, 0.1759], [0.3213, 0.3637, 0.7563], [0.3340, 0.0531, 0.7138], [0.4286, 0.1495, 0.9762], [0.5714, 0.6495, 0.5238], [0.6660, 0.5531, 0.7862], [0.6787, 0.8637, 0.7437], [0.6931, 0.8625, 0.3241], [0.7209, 0.3887, 0.5650], [0.7465, 0.9143, 0.9910], [0.7535, 0.0857, 0.4910], [0.7791, 0.6113, 0.0650], [0.8069, 0.1375, 0.8241], [0.8213, 0.1363, 0.2437], [0.8340, 0.4469, 0.2862], [0.9286, 0.3505, 0.0238]]
}

---

Stability comparison, relative energies in meV per atom: one 44; two 0

---

## one
{
  "formula": "Pr4Tl2O",
  "functional": "GGA-PBE",
  "state": "relaxed",
  "dos_at_fermi_per_ev_fu": 5.09,
  "sg": "Cmmm",
  "lattice": [[2.5752, -12.0402, 0.0000], [2.5752, 12.0402, 0.0000], [0.0000, 0.0000, 3.6195]],
  "species": ["Pr", "Pr", "Pr", "Pr", "Tl", "Tl", "O"],
  "frac_coords": [[0.0689, 0.9311, 0.0000], [0.2016, 0.7984, 0.5000], [0.7984, 0.2016, 0.5000], [0.9311, 0.0689, 0.0000], [0.3416, 0.6584, 0.0000], [0.6584, 0.3416, 0.0000], [0.0000, 0.0000, 0.5000]]
}

---

## two
{
  "formula": "Pr4Tl2O",
  "functional": "GGA-PBE",
  "state": "relaxed",
  "dos_at_fermi_per_ev_fu": 5.81,
  "sg": "P2_1/m",
  "lattice": [[6.7427, 0.0000, 0.0000], [0.0000, 7.1362, 0.0000], [-3.2863, 0.0000, 8.8781]],
  "species": ["Pr", "Pr", "Pr", "Pr", "Pr", "Pr", "Pr", "Pr", "Tl", "Tl", "Tl", "Tl", "O", "O"],
  "frac_coords": [[0.0315, 0.0018, 0.2783], [0.0315, 0.4982, 0.2783], [0.3749, 0.2500, 0.0544], [0.4279, 0.2500, 0.6510], [0.5721, 0.7500, 0.3490], [0.6251, 0.7500, 0.9456], [0.9685, 0.5018, 0.7217], [0.9685, 0.9982, 0.7217], [0.1906, 0.7500, 0.0297], [0.3098, 0.7500, 0.5885], [0.6902, 0.2500, 0.4115], [0.8094, 0.2500, 0.9703], [0.2034, 0.2500, 0.7942], [0.7966, 0.7500, 0.2058]]
}

---

Stability comparison, relative energies in meV per atom: one 244; two 0